BeAl2W after structural relaxation, computed with PBE.

Cell: 8.562 8.562 8.562 Å, 18.98 18.98 18.98°
Fractional positions:
Al 0.994 0.994 0.994
Al 0.506 0.506 0.506
Be 0.250 0.250 0.250
W 0.750 0.750 0.750

**D(E_F)**: 3.5 states/eV/cell
**E_tot**: -5.8715 eV per atom
**SG**: R-3m, No. 166
**Energy relative to the elements**: 170 meV/atom